1.
PrTmCd2Cu4 | GGA-PBE | relaxed

```
PrTmCd2Cu4
1.0
4.734 0.000 0.000
0.000 4.734 0.000
0.000 0.000 6.675
Pr Tm Cd Cu
1 1 2 4
direct
0.000 0.000 0.000
0.500 0.500 0.500
0.000 0.000 0.500
0.500 0.500 0.000
0.000 0.500 0.268
0.000 0.500 0.732
0.500 0.000 0.268
0.500 0.000 0.732
```

Values from the calculation:
electronic total energy: -0.1256 Ha/atom

---

2.
ScCdCuPt | GGA-PBE | relaxed

```
ScCdCuPt
1.0
6.480 0.000 0.000
0.000 6.480 0.000
0.000 0.000 6.480
Sc Cd Cu Pt
4 4 4 4
direct
0.000 0.000 0.000
0.000 0.500 0.500
0.500 0.000 0.500
0.500 0.500 0.000
0.250 0.250 0.250
0.250 0.750 0.750
0.750 0.250 0.750
0.750 0.750 0.250
0.000 0.000 0.500
0.000 0.500 0.000
0.500 0.000 0.000
0.500 0.500 0.500
0.250 0.250 0.750
0.250 0.750 0.250
0.750 0.250 0.250
0.750 0.750 0.750
```

Values from the calculation:
electronic total energy: -0.1729 Ha/atom
offset from the most stable computed form: 0.40 eV per formula unit

---

3.
ScCdCuPt | GGA-PBE | relaxed

```
ScCdCuPt
1.0
6.450 0.000 0.000
0.000 6.450 0.000
0.000 0.000 6.450
Sc Cd Cu Pt
4 4 4 4
direct
0.000 0.000 0.000
0.000 0.500 0.500
0.500 0.000 0.500
0.500 0.500 0.000
0.250 0.250 0.750
0.250 0.750 0.250
0.750 0.250 0.250
0.750 0.750 0.750
0.250 0.250 0.250
0.250 0.750 0.750
0.750 0.250 0.750
0.750 0.750 0.250
0.000 0.000 0.500
0.000 0.500 0.000
0.500 0.000 0.000
0.500 0.500 0.500
```

Values from the calculation:
electronic total energy: -0.1709 Ha/atom
offset from the most stable computed form: 0.61 eV per formula unit

---

4.
ScCdCuPt | GGA-PBE | relaxed

```
ScCdCuPt
1.0
6.499 0.000 0.000
0.000 6.499 0.000
0.000 0.000 6.499
Sc Cd Cu Pt
4 4 4 4
direct
0.000 0.000 0.000
0.000 0.500 0.500
0.500 0.000 0.500
0.500 0.500 0.000
0.000 0.000 0.500
0.000 0.500 0.000
0.500 0.000 0.000
0.500 0.500 0.500
0.250 0.250 0.250
0.250 0.750 0.750
0.750 0.250 0.750
0.750 0.750 0.250
0.250 0.250 0.750
0.250 0.750 0.250
0.750 0.250 0.250
0.750 0.750 0.750
```

Values from the calculation:
electronic total energy: -0.1765 Ha/atom
offset from the most stable computed form: 0.00 eV per formula unit